1.
Material: LuZrNO
Method: DFT, GGA-PBE
State: relaxed

Computed properties:
ρ = 7.72 g cm⁻³
E = -33.92 eV per formula unit

Structure (POSCAR):
```
LuZrNO
1.0
3.5239 0.0000 0.0000
0.0000 6.4579 0.0000
0.0000 0.0000 5.6004
Lu Zr N O
2 2 2 2
Cartesian
0.0000 1.1270 0.0000 Lu
0.0000 5.3309 2.8002 Lu
1.7619 2.4050 2.6481 Zr
1.7619 4.0529 5.4483 Zr
1.7619 2.0576 4.7601 N
1.7619 4.4003 1.9599 N
0.0000 0.9270 2.1762 O
0.0000 5.5309 4.9763 O
```

=====

2.
Material: Cu2Ag3
Method: DFT, GGA-PBE
State: relaxed

Computed properties:
ρ = 9.58 g cm⁻³
Energy of formation = 0.45 eV/f.u.
E = -15.46 eV per formula unit

Structure (POSCAR):
```
Cu2Ag3
1.0
4.7535 0.0000 0.0000
0.0000 2.8641 0.0000
-0.5058 0.0000 11.4747
Cu Ag
4 6
Cartesian
0.0000 0.0000 0.0000 Cu
0.1761 1.4320 9.4438 Cu
1.3241 1.4320 4.9390 Cu
3.0356 1.4320 7.0176 Cu
0.6480 0.0000 7.1640 Ag
1.8242 0.0000 2.6749 Ag
2.3235 1.4320 0.1721 Ag
2.6052 0.0000 9.2672 Ag
3.7175 0.0000 4.8164 Ag
4.2365 1.4320 2.2895 Ag
```

=====

3.
Material: RbZn13
Method: DFT, GGA-PBE
State: relaxed

Computed properties:
ρ = 6.58 g cm⁻³
E = -18.19 eV per formula unit

Structure (POSCAR):
```
RbZn13
1.0
0.0000 6.1804 6.1804
6.1804 0.0000 6.1804
6.1804 6.1804 0.0000
Rb Zn
2 26
Cartesian
3.0902 3.0902 3.0902 Rb
9.2706 9.2706 9.2706 Rb
0.0000 0.0000 0.0000 Zn
6.1804 4.7090 2.2242 Zn
10.1367 6.1804 4.7090 Zn
7.6518 2.2242 6.1804 Zn
7.6518 6.1804 3.9562 Zn
6.1804 3.9562 4.7090 Zn
8.4046 4.7090 6.1804 Zn
6.1804 7.6518 2.2242 Zn
4.7090 2.2242 6.1804 Zn
10.1367 6.1804 7.6518 Zn
4.7090 6.1804 3.9562 Zn
8.4046 7.6518 6.1804 Zn
6.1804 3.9562 7.6518 Zn
6.1804 6.1804 6.1804 Zn
6.1804 8.4046 4.7090 Zn
3.9562 4.7090 6.1804 Zn
7.6518 6.1804 8.4046 Zn
2.2242 6.1804 4.7090 Zn
7.6518 10.1367 6.1804 Zn
6.1804 4.7090 10.1367 Zn
3.9562 7.6518 6.1804 Zn
6.1804 8.4046 7.6518 Zn
4.7090 6.1804 8.4046 Zn
4.7090 10.1367 6.1804 Zn
2.2242 6.1804 7.6518 Zn
6.1804 7.6518 10.1367 Zn
```